1.
Tc2GeB | PBE-GGA | relaxed

Structure (POSCAR):
```
Tc2GeB
1.0
2.238 1.292 4.071
-2.238 1.292 4.071
0.000 -2.584 4.071
Tc Ge B
2 1 1
direct
0.163 0.163 0.163
0.837 0.837 0.837
0.500 0.500 0.500
0.000 0.000 0.000
```

Results
* E above lowest polymorph: 301 meV/atom
* ΔE_f: 42.5 kJ per mole of atoms
* space group: R-3m, No. 166
* E_tot: -7.566 eV per atom


2.
Tc8GeB2 | PBE-GGA | relaxed

Structure (POSCAR):
```
Tc8GeB2
1.0
3.359 -5.070 0.000
3.359 5.070 0.000
-1.271 0.000 4.286
Tc Ge B
8 1 2
direct
0.078 0.336 0.607
0.248 0.752 0.000
0.336 0.078 0.607
0.393 0.393 0.192
0.607 0.607 0.808
0.664 0.922 0.393
0.752 0.248 0.000
0.922 0.664 0.393
0.000 0.000 0.000
0.313 0.687 0.500
0.687 0.313 0.500
```

Results
* ΔE_f: -7.3 kJ per mole of atoms
* space group: C2/m, No. 12
* E_tot: -9.248 eV per atom


3.
TcGe2B | PBE-GGA | relaxed

Structure (POSCAR):
```
TcGe2B
1.0
-3.227 3.227 2.669
3.227 -3.227 2.669
3.227 3.227 -2.669
Tc Ge B
2 4 2
direct
0.000 0.000 0.000
0.750 0.250 0.500
0.194 0.625 0.069
0.375 0.444 0.569
0.556 0.125 0.931
0.875 0.806 0.431
0.250 0.750 0.500
0.500 0.500 0.000
```

Results
* ΔE_f: 63.1 kJ per mole of atoms
* space group: I-42d, No. 122
* E_tot: -5.916 eV per atom


4.
Tc2GeB2 | PBE-GGA | relaxed

Structure (POSCAR):
```
Tc2GeB2
1.0
6.046 0.000 0.000
0.000 6.046 0.000
0.000 0.000 3.003
Tc Ge B
4 2 4
direct
0.206 0.294 0.000
0.294 0.794 0.000
0.706 0.206 0.000
0.794 0.706 0.000
0.000 0.000 0.500
0.500 0.500 0.500
0.099 0.599 0.500
0.401 0.099 0.500
0.599 0.901 0.500
0.901 0.401 0.500
```

Results
* ΔE_f: 2.1 kJ per mole of atoms
* space group: P4/mbm, No. 127
* E_tot: -7.719 eV per atom


Across the entries above, Fermi-level density of states takes the values 2.7 8.5 2.6 2.8 states/eV/f.u., respectively.